No. 1
Density functional theory data (PBE) for crystalline CsHgHIr2 at its relaxed geometry.

```
CsHgHIr2
1.0
4.136 0.000 0.000
0.000 4.136 0.000
0.000 0.000 6.025
Cs Hg H Ir
1 1 1 2
direct
0.000 0.000 0.000
0.500 0.500 0.000
0.500 0.500 0.500
0.000 0.500 0.500
0.500 0.000 0.500
```

Properties
- Total DFT energy (no corrections): -16.5 eV/cell

No. 2
Density functional theory data (PBE) for crystalline CsK2HgH at its relaxed geometry.

```
CsK2HgH
1.0
5.560 0.000 0.000
0.000 5.560 0.000
0.000 0.000 6.235
Cs K Hg H
1 2 1 1
direct
0.000 0.000 0.000
0.000 0.500 0.500
0.500 0.000 0.500
0.500 0.500 0.000
0.000 0.000 0.500
```

Properties
- Total DFT energy (no corrections): -7.2 eV/cell

No. 3
Density functional theory data (PBE) for crystalline CsK2HgH at its relaxed geometry.

```
CsK2HgH
1.0
5.641 0.000 0.000
0.000 5.641 0.000
0.000 0.000 7.185
Cs K Hg H
1 2 1 1
direct
0.000 0.000 0.000
0.000 0.500 0.500
0.500 0.000 0.500
0.500 0.500 0.000
0.500 0.500 0.500
```

Properties
- Total DFT energy (no corrections): -6.7 eV/cell

No. 4
Density functional theory data (PBE) for crystalline Cs3KHg2H6 at its relaxed geometry.

```
Cs3KHg2H6
1.0
6.572 0.000 0.000
-3.286 5.692 0.000
0.000 0.000 8.299
Cs K Hg H
3 1 2 6
direct
0.000 0.000 0.000
0.333 0.667 0.711
0.667 0.333 0.289
0.000 0.000 0.500
0.333 0.667 0.220
0.667 0.333 0.780
0.179 0.358 0.290
0.179 0.821 0.290
0.358 0.179 0.710
0.642 0.821 0.290
0.821 0.179 0.710
0.821 0.642 0.710
```

Properties
- Total DFT energy (no corrections): -24.9 eV/cell

No. 5
Density functional theory data (PBE) for crystalline Cs2KHgH at its relaxed geometry.

```
Cs2KHgH
1.0
6.192 0.000 0.000
0.000 6.192 0.000
0.000 0.000 5.632
Cs K Hg H
2 1 1 1
direct
0.000 0.500 0.000
0.500 0.000 0.000
0.000 0.000 0.500
0.500 0.500 0.500
0.000 0.000 0.000
```

Properties
- Total DFT energy (no corrections): -7.0 eV/cell

No. 6
Density functional theory data (PBE) for crystalline CsKHgH at its relaxed geometry.

```
CsKHgH
1.0
0.000 4.239 4.239
4.239 0.000 4.239
4.239 4.239 0.000
Cs K Hg H
1 1 1 1
direct
0.000 0.000 0.000
0.500 0.500 0.500
0.250 0.250 0.250
0.750 0.750 0.750
```

Properties
- Total DFT energy (no corrections): -5.4 eV/cell

No. 7
Density functional theory data (PBE) for crystalline Cs3KHg2H8 at its relaxed geometry.

```
Cs3KHg2H8
1.0
6.525 0.000 0.000
-3.262 5.650 0.000
0.000 0.000 8.602
Cs K Hg H
3 1 2 8
direct
0.000 0.000 0.000
0.333 0.667 0.685
0.667 0.333 0.315
0.000 0.000 0.500
0.333 0.667 0.231
0.667 0.333 0.769
0.182 0.364 0.310
0.182 0.818 0.310
0.333 0.667 0.025
0.364 0.182 0.690
0.636 0.818 0.310
0.667 0.333 0.975
0.818 0.182 0.690
0.818 0.636 0.690
```

Properties
- Total DFT energy (no corrections): -32.8 eV/cell

No. 8
Density functional theory data (PBE) for crystalline Cs2KHgH at its relaxed geometry.

```
Cs2KHgH
1.0
5.972 0.000 0.000
0.000 5.972 0.000
0.000 0.000 6.899
Cs K Hg H
2 1 1 1
direct
0.000 0.500 0.000
0.500 0.000 0.000
0.000 0.000 0.500
0.500 0.500 0.500
0.500 0.500 0.000
```

Properties
- Total DFT energy (no corrections): -6.6 eV/cell

No. 9
Density functional theory data (PBE) for crystalline Cs2LiHgH at its relaxed geometry.

```
Cs2LiHgH
1.0
6.626 0.000 0.000
0.000 6.626 0.000
0.000 0.000 4.189
Cs Li Hg H
2 1 1 1
direct
0.000 0.500 0.000
0.500 0.000 0.000
0.000 0.000 0.500
0.500 0.500 0.500
0.000 0.000 0.000
```

Properties
- Total DFT energy (no corrections): -7.5 eV/cell

No. 10
Density functional theory data (PBE) for crystalline CsHg2MoH at its relaxed geometry.

```
CsHg2MoH
1.0
4.592 0.000 0.000
0.000 4.592 0.000
0.000 0.000 5.054
Cs Hg Mo H
1 2 1 1
direct
0.000 0.000 0.000
0.000 0.500 0.500
0.500 0.000 0.500
0.500 0.500 0.000
0.000 0.000 0.500
```

Properties
- Total DFT energy (no corrections): -9.7 eV/cell

No. 11
Density functional theory data (PBE) for crystalline CsHgH2N at its relaxed geometry.

```
CsHgH2N
1.0
4.286 0.000 0.000
0.000 4.286 0.000
0.000 0.000 5.129
Cs Hg H N
1 1 2 1
direct
0.000 0.000 0.000
0.500 0.500 0.500
0.000 0.500 0.000
0.500 0.000 0.000
0.000 0.000 0.500
```

Properties
- Total DFT energy (no corrections): -7.9 eV/cell

No. 12
Density functional theory data (PBE) for crystalline Cs3NaHg2H8 at its relaxed geometry.

```
Cs3NaHg2H8
1.0
6.347 0.000 0.000
-3.174 5.497 0.000
0.000 0.000 8.450
Cs Na Hg H
3 1 2 8
direct
0.000 0.000 0.000
0.333 0.667 0.681
0.667 0.333 0.319
0.000 0.000 0.500
0.333 0.667 0.241
0.667 0.333 0.759
0.179 0.357 0.331
0.179 0.821 0.331
0.333 0.667 0.033
0.357 0.179 0.669
0.643 0.821 0.331
0.667 0.333 0.967
0.821 0.179 0.669
0.821 0.643 0.669
```

Properties
- Total DFT energy (no corrections): -32.9 eV/cell

No. 13
Density functional theory data (PBE) for crystalline CsNa2HgH at its relaxed geometry.

```
CsNa2HgH
1.0
5.023 0.000 0.000
0.000 5.023 0.000
0.000 0.000 6.139
Cs Na Hg H
1 2 1 1
direct
0.000 0.000 0.000
0.000 0.500 0.500
0.500 0.000 0.500
0.500 0.500 0.000
0.000 0.000 0.500
```

Properties
- Total DFT energy (no corrections): -7.3 eV/cell

No. 14
Density functional theory data (PBE) for crystalline Cs3NaHg2H6 at its relaxed geometry.

```
Cs3NaHg2H6
1.0
6.437 0.000 0.000
-3.218 5.575 0.000
0.000 0.000 7.896
Cs Na Hg H
3 1 2 6
direct
0.000 0.000 0.000
0.333 0.667 0.694
0.667 0.333 0.306
0.000 0.000 0.500
0.333 0.667 0.226
0.667 0.333 0.774
0.175 0.349 0.310
0.175 0.825 0.310
0.349 0.175 0.690
0.651 0.825 0.310
0.825 0.175 0.690
0.825 0.651 0.690
```

Properties
- Total DFT energy (no corrections): -25.0 eV/cell

No. 15
Density functional theory data (PBE) for crystalline Cs2NiHg2H4 at its relaxed geometry.

```
Cs2NiHg2H4
1.0
-3.618 3.618 4.201
3.618 -3.618 4.201
3.618 3.618 -4.201
Cs Ni Hg H
2 1 2 4
direct
0.250 0.750 0.500
0.750 0.250 0.500
0.000 0.000 0.000
0.314 0.314 0.000
0.686 0.686 0.000
0.151 0.151 0.302
0.151 0.849 0.000
0.849 0.151 0.000
0.849 0.849 0.698
```

Properties
- Total DFT energy (no corrections): -22.8 eV/cell

No. 16
Density functional theory data (PBE) for crystalline CsHgHO at its relaxed geometry.

```
CsHgHO
1.0
4.084 0.000 0.000
0.000 4.087 0.000
0.007 0.029 6.810
Cs Hg H O
1 1 1 1
direct
0.000 0.000 0.000
0.501 0.502 0.560
0.501 0.502 0.318
0.500 0.502 0.849
```

Properties
- Total DFT energy (no corrections): -11.8 eV/cell

No. 17
Density functional theory data (PBE) for crystalline CsHgHO2 at its relaxed geometry.

```
CsHgHO2
1.0
3.460 -6.015 0.000
3.460 6.015 0.000
0.000 0.000 4.453
Cs Hg H O
2 2 2 4
direct
0.250 0.750 0.769
0.750 0.250 0.231
0.250 0.250 0.500
0.750 0.750 0.500
0.000 0.000 0.000
0.500 0.500 0.000
0.068 0.932 0.211
0.432 0.568 0.211
0.568 0.432 0.789
0.932 0.068 0.789
```

Properties
- Total DFT energy (no corrections): -36.7 eV/cell

No. 18
Density functional theory data (PBE) for crystalline Cs2Hg2PH4 at its relaxed geometry.

```
Cs2Hg2PH4
1.0
-3.501 3.501 5.000
3.501 -3.501 5.000
3.501 3.501 -5.000
Cs Hg P H
2 2 1 4
direct
0.250 0.750 0.500
0.750 0.250 0.500
0.149 0.149 0.000
0.851 0.851 0.000
0.500 0.500 0.000
0.349 0.349 0.697
0.349 0.651 0.000
0.651 0.349 0.000
0.651 0.651 0.303
```

Properties
- Total DFT energy (no corrections): -20.9 eV/cell

No. 19
Density functional theory data (PBE) for crystalline CsHgP2H6 at its relaxed geometry.

```
CsHgP2H6
1.0
4.216 -6.334 0.000
4.216 6.334 0.000
0.000 0.000 6.447
Cs Hg P H
2 2 4 12
direct
0.184 0.816 0.750
0.816 0.184 0.250
0.369 0.631 0.250
0.631 0.369 0.750
0.155 0.274 0.750
0.274 0.155 0.250
0.726 0.845 0.750
0.845 0.726 0.250
0.031 0.709 0.250
0.226 0.415 0.586
0.226 0.415 0.914
0.291 0.969 0.250
0.415 0.226 0.086
0.415 0.226 0.414
0.585 0.774 0.586
0.585 0.774 0.914
0.709 0.031 0.750
0.774 0.585 0.086
0.774 0.585 0.414
0.969 0.291 0.750
```

Properties
- Total DFT energy (no corrections): -65.1 eV/cell

No. 20
Density functional theory data (PBE) for crystalline CsHg2HPb at its relaxed geometry.

```
CsHg2HPb
1.0
6.312 0.000 0.000
0.000 6.312 0.000
0.000 0.000 4.276
Cs Hg H Pb
1 2 1 1
direct
0.000 0.000 0.000
0.000 0.500 0.500
0.500 0.000 0.500
0.500 0.500 0.000
0.500 0.500 0.500
```

Properties
- Total DFT energy (no corrections): -8.2 eV/cell